(1)
# Pm2CuSn3Ir4, relaxed, DFT PBE-GGA
# Calculated formation energy (eV per atom): -0.46
# Volume (Å³/f.u.): 208.6
# Spin magnetization (μB per formula unit): 0.00
data_Pm2CuSn3Ir4
_space_group_name_H-M_alt 'P -4 m 2'
_space_group_IT_number 115
_cell_length_a 4.308
_cell_length_b 4.308
_cell_length_c 11.242
_cell_angle_alpha 90.00
_cell_angle_beta 90.00
_cell_angle_gamma 90.00
loop_
_space_group_symop_operation_xyz
'x,y,z'
'y,-x,-z'
'-x,-y,z'
'-y,x,-z'
'-x,y,z'
'-y,-x,-z'
'x,-y,z'
'y,x,-z'
loop_
_atom_site_label
_atom_site_type_symbol
_atom_site_fract_x
_atom_site_fract_y
_atom_site_fract_z
Pm1 Pm 0.000 0.500 0.242
Cu1 Cu 0.500 0.500 0.000
Sn1 Sn 0.000 0.000 0.000
Sn2 Sn 0.000 0.500 0.633
Ir1 Ir 0.000 0.000 0.500
Ir2 Ir 0.000 0.500 0.864
Ir3 Ir 0.500 0.500 0.500

(2)
# Ac2Si2Pb, relaxed, DFT PBE-GGA
# Polymorph energy (0 for the lowest one) (eV/atom): 0.000
# Formation energy from raw total energies (eV/atom): -0.59
# Volume (Å³/f.u.): 143.7
# Spin magnetization (μB per formula unit): 0.00
data_Ac2Si2Pb
_space_group_name_H-M_alt 'C m m m'
_space_group_IT_number 65
_space_group_name_Hall '-C 2 2'
_cell_length_a 4.025
_cell_length_b 15.358
_cell_length_c 4.650
_cell_angle_alpha 90.00
_cell_angle_beta 90.00
_cell_angle_gamma 90.00
loop_
_atom_site_label
_atom_site_type_symbol
_atom_site_fract_x
_atom_site_fract_y
_atom_site_fract_z
Ac1 Ac 0.000 0.135 0.000
Si1 Si 0.000 0.294 0.500
Pb1 Pb 0.000 0.500 0.500

(3)
# TbY3Fe8, relaxed, DFT PBE-GGA
# Calculated formation energy (eV per atom): -0.06
# Volume (Å³/f.u.): 192.9
# Spin magnetization (μB per formula unit): 13.32
data_TbY3Fe8
_space_group_name_H-M_alt 'R 3 m'
_space_group_IT_number 160
_space_group_name_Hall 'R 3 -2"'
_cell_length_a 5.1495
_cell_length_b 5.1495
_cell_length_c 25.1946
_cell_angle_alpha 90.00
_cell_angle_beta 90.00
_cell_angle_gamma 120.00
loop_
_atom_site_label
_atom_site_type_symbol
_atom_site_fract_x
_atom_site_fract_y
_atom_site_fract_z
Tb1 Tb 0.0000 0.0000 0.0000
Y1 Y 0.0000 0.0000 0.3750
Y2 Y 0.0000 0.0000 0.5000
Y3 Y 0.0000 0.0000 0.8751
Fe1 Fe 0.0000 0.0000 0.1874
Fe2 Fe 0.0000 0.0000 0.6876
Fe3 Fe 0.9998 0.4999 0.4376
Fe4 Fe 0.9998 0.4999 0.9375

(4)
# TlHgPd5, relaxed, DFT PBE-GGA
# Calculated formation energy (eV per atom): 0.16
# Polymorph energy (0 for the lowest one) (eV/atom): 0.230
# Volume (Å³/f.u.): 139.5
# Spin magnetization (μB per formula unit): 0.00
data_TlHgPd5
_space_group_name_H-M_alt 'I m m 2'
_space_group_IT_number 44
_cell_length_a 5.314
_cell_length_b 6.955
_cell_length_c 7.548
_cell_angle_alpha 90.00
_cell_angle_beta 90.00
_cell_angle_gamma 90.00
loop_
_space_group_symop_operation_xyz
'x,y,z'
'-x,-y,z'
'-x,y,z'
'x,-y,z'
'x+1/2,y+1/2,z+1/2'
'-x+1/2,-y+1/2,z+1/2'
'-x+1/2,y+1/2,z+1/2'
'x+1/2,-y+1/2,z+1/2'
loop_
_atom_site_label
_atom_site_type_symbol
_atom_site_fract_x
_atom_site_fract_y
_atom_site_fract_z
Tl1 Tl 0.000 0.000 0.000
Hg1 Hg 0.000 0.500 0.859
Pd1 Pd 0.000 0.000 0.346
Pd2 Pd 0.000 0.312 0.530
Pd3 Pd 0.246 0.500 0.189

Please write out number 4 again, unchanged.
# TlHgPd5, relaxed, DFT PBE-GGA
# Calculated formation energy (eV per atom): 0.16
# Polymorph energy (0 for the lowest one) (eV/atom): 0.230
# Volume (Å³/f.u.): 139.5
# Spin magnetization (μB per formula unit): 0.00
data_TlHgPd5
_space_group_name_H-M_alt 'I m m 2'
_space_group_IT_number 44
_cell_length_a 5.314
_cell_length_b 6.955
_cell_length_c 7.548
_cell_angle_alpha 90.00
_cell_angle_beta 90.00
_cell_angle_gamma 90.00
loop_
_space_group_symop_operation_xyz
'x,y,z'
'-x,-y,z'
'-x,y,z'
'x,-y,z'
'x+1/2,y+1/2,z+1/2'
'-x+1/2,-y+1/2,z+1/2'
'-x+1/2,y+1/2,z+1/2'
'x+1/2,-y+1/2,z+1/2'
loop_
_atom_site_label
_atom_site_type_symbol
_atom_site_fract_x
_atom_site_fract_y
_atom_site_fract_z
Tl1 Tl 0.000 0.000 0.000
Hg1 Hg 0.000 0.500 0.859
Pd1 Pd 0.000 0.000 0.346
Pd2 Pd 0.000 0.312 0.530
Pd3 Pd 0.246 0.500 0.189